# 1
Here is crystalline MgAlMo2 at its relaxed geometry from the Alexandria database. Energies are from GGA-PBEsol.

Values from the calculation:
* crystal system: orthorhombic
* energy of formation from the pure elements: 0.15 eV/atom

Unit cell a=3.345 b=4.220 c=4.430 alpha=90.00 beta=90.00 gamma=90.00
Element x y z (fractional)
Mg  0.000  0.500  0.500
Mo  0.000  0.000  0.000
Mo  0.500  0.500  0.000
Al  0.500  0.000  0.500

# 2
Here is crystalline CsLiOF2 at its relaxed geometry from the Alexandria database. Energies are from GGA-PBEsol.

Values from the calculation:
* crystal system: tetragonal
* formation energy from raw total energies: -0.999 eV per atom

Unit cell a=4.392 b=5.059 c=5.059 alpha=90.00 beta=90.00 gamma=90.00
Element x y z (fractional)
O  0.500  0.000  0.000
F  0.000  0.000  0.500
F  0.000  0.500  0.000
Li  0.500  0.500  0.500
Cs  0.000  0.000  0.000

# 3
Here is crystalline Cs2Al2Si3O10 at its relaxed geometry from the Alexandria database. Energies are from GGA-PBEsol.

Values from the calculation:
* crystal system: orthorhombic
* formation energy from raw total energies: -2.813 eV per atom

Unit cell a=6.567 b=9.577 c=10.178 alpha=83.65 beta=71.18 gamma=69.95
Element x y z (fractional)
O  0.663  0.785  0.938
O  0.671  0.526  0.361
O  0.076  0.570  0.680
O  0.208  0.851  0.020
O  0.396  0.930  0.180
O  0.783  0.026  0.139
O  0.327  0.430  0.320
O  0.808  0.649  0.520
O  0.386  0.215  0.062
O  0.078  0.149  0.980
O  0.856  0.857  0.647
O  0.559  0.474  0.639
O  0.198  0.715  0.438
O  0.253  0.357  0.853
O  0.463  0.643  0.147
O  0.359  0.143  0.353
O  0.947  0.974  0.861
O  0.977  0.351  0.480
O  0.507  0.070  0.820
O  0.351  0.285  0.562
Al  0.747  0.918  0.820
Al  0.317  0.418  0.680
Al  0.415  0.582  0.320
Al  0.485  0.082  0.180
Si  0.437  0.805  0.072
Si  0.259  0.305  0.428
Si  0.314  0.195  0.928
Si  0.992  0.695  0.572
Si  0.000  0.000  0.000
Si  0.750  0.500  0.500
Cs  0.723  0.425  0.891
Cs  0.898  0.075  0.391
Cs  0.039  0.575  0.109
Cs  0.364  0.925  0.609

# 4
Here is crystalline BaLa2MgRe at its relaxed geometry from the Alexandria database. Energies are from GGA-PBEsol.

Values from the calculation:
* crystal system: tetragonal
* energy of formation from the pure elements: 1.10 eV/atom

Unit cell a=4.884 b=5.745 c=5.745 alpha=90.00 beta=90.00 gamma=90.00
Element x y z (fractional)
Ba  0.500  0.500  0.500
Re  0.500  0.000  0.000
Mg  0.000  0.000  0.000
La  0.000  0.000  0.500
La  0.000  0.500  0.000

# 5
Here is crystalline RbAl2Pb2 at its relaxed geometry from the Alexandria database. Energies are from GGA-PBEsol.

Values from the calculation:
* crystal system: tetragonal
* energy of formation from the pure elements: -0.01 eV/atom

Unit cell a=4.172 b=4.172 c=9.155 alpha=103.17 beta=103.17 gamma=90.00
Element x y z (fractional)
Pb  0.636  0.636  0.272
Pb  0.364  0.364  0.728
Al  0.250  0.750  0.500
Al  0.750  0.250  0.500
Rb  0.000  0.000  0.000

# 6
Here is crystalline LiCd2Te at its relaxed geometry from the Alexandria database. Energies are from GGA-PBEsol.

Values from the calculation:
* crystal system: monoclinic
* formation energy from raw total energies: -0.284 eV per atom

Unit cell a=3.249 b=4.199 c=6.830 alpha=90.00 beta=103.60 gamma=90.00
Element x y z (fractional)
Cd  0.807  0.500  0.238
Cd  0.215  0.000  0.053
Li  0.447  0.000  0.519
Te  0.032  0.500  0.690

| no. | total magnetization (μB per atom) |
| --- | --- |
| 1 | 0.000 |
| 2 | 0.000 |
| 3 | 0.000 |
| 4 | 0.001 |
| 5 | 0.000 |
| 6 | 0.000 |